PbO2 | meta-GGA SCAN | PBEsol geometry

Unit cell a=5.0719 b=5.4800 c=5.9233 alpha=90.00 beta=90.00 gamma=90.00
Positions (direct):
Pb  0.0000  0.2500  0.3177
O  0.2351  0.5690  0.4094
O  0.2649  0.5690  0.9094
O  0.2351  0.0690  0.5906
O  0.7351  0.9310  0.9094
O  0.7649  0.9310  0.4094
O  0.7351  0.4310  0.0906
Pb  0.5000  0.7500  0.1823
O  0.2649  0.0690  0.0906
Pb  0.5000  0.2500  0.8177
Pb  0.0000  0.7500  0.6823
O  0.7649  0.4310  0.5906

Computed properties:
As for the total energy: -30.28 eV/atom.

***

Pb3O4 | meta-GGA SCAN | PBEsol geometry

Unit cell a=6.6736 b=8.8189 c=8.8189 alpha=90.00 beta=90.00 gamma=90.00
Positions (direct):
Pb  0.2500  0.5000  0.0000
Pb  0.5000  0.1631  0.8574
Pb  0.0000  0.1426  0.1631
Pb  0.5000  0.8369  0.1426
O  0.0000  0.4070  0.1376
Pb  0.2500  0.0000  0.5000
Pb  0.5000  0.3369  0.3574
O  0.5000  0.3624  0.0930
O  0.5000  0.8624  0.4070
O  0.0000  0.9070  0.3624
Pb  0.0000  0.6426  0.3369
Pb  0.0000  0.8574  0.8369
Pb  0.7500  0.0000  0.5000
O  0.7500  0.8275  0.6725
Pb  0.7500  0.5000  0.0000
Pb  0.5000  0.6631  0.6426
O  0.0000  0.0930  0.6376
O  0.0000  0.5930  0.8624
O  0.5000  0.1376  0.5930
O  0.2500  0.8275  0.6725
O  0.7500  0.6725  0.1725
Pb  0.0000  0.3574  0.6631
O  0.2500  0.1725  0.3275
O  0.2500  0.3275  0.8275
O  0.7500  0.1725  0.3275
O  0.7500  0.3275  0.8275
O  0.5000  0.6376  0.9070
O  0.2500  0.6725  0.1725

Computed properties:
As for the total energy: -37.10 eV/atom. Its energy above the lowest structure with this stoichiometry is 0 meV per atom.